3
Lattice="0.000 3.634 3.634 3.634 0.000 3.634 3.634 3.634 0.000" Properties=species:S:1:pos:R:3 comment="SrMgCo, optimized geometry, DFT PBE-GGA" mass_density_kg_m3=2955 total_energy_ev_per_atom=-2.37 space_group="F-43m (216)" formation_energy_mev_per_atom=1090 pbc="T T T"
Sr 0.000 0.000 0.000
Mg 1.817 1.817 1.817
Co 5.451 5.451 5.451

---

7
Lattice="4.816 0.000 0.000 0.000 4.816 0.000 0.000 0.000 4.816" Properties=species:S:1:pos:R:3 comment="In4C3, optimized geometry, DFT PBE-GGA" mass_density_kg_m3=7364 total_energy_ev_per_atom=-4.23 space_group="Pm-3m (221)" formation_energy_mev_per_atom=1286 pbc="T T T"
In 0.000 0.000 0.000
In 0.000 2.408 2.408
In 2.408 0.000 2.408
In 2.408 2.408 0.000
C 0.000 0.000 2.408
C 0.000 2.408 0.000
C 2.408 0.000 0.000

---

6
Lattice="5.287 0.000 0.000 -2.644 4.579 0.000 0.000 0.000 4.956" Properties=species:S:1:pos:R:3 comment="As5C, optimized geometry, DFT PBE-GGA" mass_density_kg_m3=5350 e_above_lowest_polymorph_mev_per_atom=916.8 total_energy_ev_per_atom=-3.97 space_group="P6/mmm (191)" formation_energy_mev_per_atom=1439 pbc="T T T"
As -1.322 2.289 0.000
As 0.000 3.053 2.478
As 2.644 0.000 0.000
As 1.322 2.289 0.000
As 2.644 1.526 2.478
C 0.000 0.000 2.478

---

4
Lattice="0.000 3.620 3.620 3.620 0.000 3.620 3.620 3.620 0.000" Properties=species:S:1:pos:R:3 comment="Ca2ZnSi, optimized geometry, DFT PBE-GGA" mass_density_kg_m3=3040 e_above_lowest_polymorph_mev_per_atom=51.0 total_energy_ev_per_atom=-3.02 raw_formation_energy_ev_per_fu=-1.4 space_group="Fm-3m (225)" pbc="T T T"
Ca 1.810 1.810 1.810
Ca 5.430 5.430 5.430
Zn 0.000 0.000 0.000
Si 3.620 3.620 3.620

---

8
Lattice="7.385 0.000 0.000 0.000 4.244 0.000 -2.430 0.000 7.066" Properties=species:S:1:pos:R:3 comment="LiCeSc2Te4, optimized geometry, DFT PBE-GGA" mass_density_kg_m3=5603 total_energy_ev_per_atom=-5.34 raw_formation_energy_ev_per_fu=-9.7 space_group="P2/m (10)" pbc="T T T"
Li 0.000 0.000 0.000
Ce 3.693 2.122 0.000
Sc -1.215 2.122 3.533
Sc 2.478 0.000 3.533
Te -0.056 0.000 5.182
Te 1.173 2.122 1.852
Te 3.782 2.122 5.215
Te 5.012 0.000 1.884

---

8
Lattice="1.969 1.137 8.136 -1.969 1.137 8.136 0.000 -2.273 8.136" Properties=species:S:1:pos:R:3 comment="CaBe4SiIr2, optimized geometry, DFT PBE-GGA" mass_density_kg_m3=7429 total_energy_ev_per_atom=-5.25 raw_formation_energy_ev_per_fu=-2.0 space_group="R-3m (166)" pbc="T T T"
Ca 0.000 0.000 0.000
Be 0.000 0.000 2.946
Be 0.000 0.000 10.052
Be 0.000 0.000 14.356
Be 0.000 0.000 21.461
Si 0.000 0.000 12.204
Ir 0.000 0.000 5.541
Ir 0.000 0.000 18.867